No. 1
DFT (PBE) results for a relaxed Pm2GePd3 crystal.

Cell: 4.4425 4.4425 15.2749 Å, 90.00 90.00 120.00°
Space group P6_3/mmc (No. 194)
One atom of each set of equivalent atoms:
Pm 0.0000 0.0000 0.1255 x4
Ge 0.3333 0.6667 0.2500 x2
Pd 0.3333 0.6667 0.5005 x4
Pd 0.3333 0.6667 0.7500 x2

Calculated values
Energy above the lowest structure with this stoichiometry   30 meV/atom
Formation enthalpy at 0 K   -0.7956 eV/atom

No. 2
DFT (PBE) results for a relaxed Cr3AsW crystal.

Cell: 4.350 4.350 4.350 Å, 90.00 90.00 90.00°
Space group Pm-3m (No. 221)
One atom of each set of equivalent atoms:
Cr 0.000 0.000 0.500 x3
As 0.000 0.000 0.000 x1
W 0.500 0.500 0.500 x1

Calculated values
Energy above the lowest structure with this stoichiometry   0 meV/atom
Formation enthalpy at 0 K   1.2181 eV/atom

No. 3
DFT (PBE) results for a relaxed Cs3Pb4 crystal.

Cell: 4.935 6.258 23.484 Å, 90.00 90.00 90.00°
Space group Immm (No. 71)
One atom of each set of equivalent atoms:
Cs 0.000 0.000 0.000 x2
Cs 0.000 0.500 0.316 x4
Pb 0.000 0.000 0.435 x4
Pb 0.000 0.500 0.140 x4

Calculated values
Energy above the lowest structure with this stoichiometry   0 meV/atom
Formation enthalpy at 0 K   -0.1259 eV/atom

No. 4
DFT (PBE) results for a relaxed La2P2Rh crystal.

Cell: 5.782 5.782 7.325 Å, 90.00 90.00 90.00°
Space group I4/mmm (No. 139)
One atom of each set of equivalent atoms:
La 0.000 0.500 0.250 x4
P 0.000 0.000 0.176 x4
Rh 0.000 0.000 0.500 x2

Calculated values
Energy above the lowest structure with this stoichiometry   317 meV/atom
Formation enthalpy at 0 K   -0.7390 eV/atom

Among the records above, which one has the lowest formation enthalpy at 0 K?
Pm2GePd3